Entry 1:
The following is a DFT calculation (PBE-GGA) of EuYTh2 after structural relaxation.

The structure in extended XYZ format:
```
4
Lattice="-2.494 4.444 0.854 -4.203 -2.581 1.160 1.424 -0.134 4.860" Properties=species:S:1:pos:R:3 pbc="T T T"
Eu -1.247 2.222 0.427
Y -2.636 0.864 3.437
Th 0.712 -0.067 2.430
Th -2.101 -1.291 0.580
```

Results
SG = P4/mmm, No. 123
energy = -31.0 eV for the cell shown

Entry 2:
The following is a DFT calculation (PBE-GGA) of Sr2AgHF after structural relaxation.

The structure in extended XYZ format:
```
5
Lattice="5.147 0.000 0.000 0.000 5.035 0.000 0.000 0.000 5.147" Properties=species:S:1:pos:R:3 pbc="T T T"
Sr 0.000 0.000 2.573
Sr 2.573 0.000 0.000
H 2.573 2.517 2.573
Ag 0.000 2.517 0.000
F 0.000 0.000 0.000
```

Results
SG = P4/mmm, No. 123
energy = -14.7 eV for the cell shown

Entry 3:
The following is a DFT calculation (PBE-GGA) of LiPrMg2S4 after structural relaxation.

The structure in extended XYZ format:
```
16
Lattice="3.862 0.000 0.000 -1.931 6.332 0.000 0.000 0.000 12.697" Properties=species:S:1:pos:R:3 pbc="T T T"
Li 1.931 4.437 9.523
Li 0.000 1.896 3.174
Pr 0.000 1.513 9.523
Pr 1.931 4.819 3.174
Mg 0.000 4.739 7.043
Mg 1.931 1.593 0.695
Mg 1.931 1.593 5.654
Mg 0.000 4.739 12.003
S 0.000 3.455 1.461
S 1.931 2.877 7.809
S 1.931 2.877 11.236
S 0.000 3.455 4.888
S 0.000 0.000 6.349
S 0.000 0.000 0.000
S 0.000 5.712 9.523
S 1.931 0.621 3.174
```

Results
formation energy without anion corrections = -1.57 eV/atom
SG = Cmcm, No. 63
energy = -78.0 eV for the cell shown